Record 1
The following is a PBE-GGA calculation of a relaxed PuThHg crystal, from OQMD via LeMat-Bulk.

a = 5.0157 Å, b = 5.0157 Å, c = 5.0157 Å
α = 60.00°, β = 60.00°, γ = 60.00°
With the nearest neighbours (Å) after each atom.
Fractional coordinates of all 3 atoms:
Hg1 0.2500 0.2500 0.2500  4 Pu 3.07
Pu1 0.0000 0.0000 0.0000  4 Hg 3.07, 4 Th 3.07
Th1 0.7500 0.7500 0.7500  4 Pu 3.07

Properties
E above lowest polymorph in meV/atom: 0
Formation energy from the elements in meV/atom: 307
Space group: F-43m (216)

Record 2
The following is a PBE-GGA calculation of a relaxed NaZrAgS3 crystal, from OQMD via LeMat-Bulk.

a = 12.0499 Å, b = 3.7792 Å, c = 11.3169 Å
α = 90.00°, β = 90.00°, γ = 90.00°
With the nearest neighbours (Å) after each atom.
Fractional coordinates of all 24 atoms:
Ag1 0.7597 0.2500 0.2065  4 S 2.49-2.60
Ag2 0.2597 0.2500 0.2935  4 S 2.49-2.60
Ag3 0.7403 0.7500 0.7065  4 S 2.49-2.60
Ag4 0.2403 0.7500 0.7935  4 S 2.49-2.60
Na1 0.3647 0.2500 0.0024  5 S 2.76-2.91
Na2 0.8647 0.2500 0.4976  5 S 2.76-2.91
Na3 0.1353 0.7500 0.5024  5 S 2.76-2.91
Na4 0.6353 0.7500 0.9976  5 S 2.76-2.91
S1 0.9281 0.2500 0.0785  1 Ag 2.49, 3 Zr 2.62-2.76
S2 0.2542 0.7500 0.1363  1 Zr 2.42, 2 Ag 2.60
S3 0.5489 0.2500 0.1693  1 Ag 2.57, 2 Zr 2.66
S4 0.0489 0.2500 0.3307  1 Ag 2.57, 2 Zr 2.66
S5 0.7542 0.7500 0.3637  1 Zr 2.42, 2 Ag 2.60
S6 0.4281 0.2500 0.4215  1 Ag 2.49, 3 Zr 2.62-2.76
S7 0.5719 0.7500 0.5785  1 Ag 2.49, 3 Zr 2.62-2.76
S8 0.2458 0.2500 0.6363  1 Zr 2.42, 2 Ag 2.60
S9 0.9511 0.7500 0.6693  1 Ag 2.57, 2 Zr 2.66
S10 0.4511 0.7500 0.8307  1 Ag 2.57, 2 Zr 2.66
S11 0.7458 0.2500 0.8637  1 Zr 2.42, 2 Ag 2.60
S12 0.0719 0.7500 0.9215  1 Ag 2.49, 3 Zr 2.62-2.76
Zr1 0.0554 0.7500 0.1650  5 S 2.42-2.66
Zr2 0.5554 0.7500 0.3350  5 S 2.42-2.66
Zr3 0.4446 0.2500 0.6650  5 S 2.42-2.66
Zr4 0.9446 0.2500 0.8350  5 S 2.42-2.66

Properties
E above lowest polymorph in meV/atom: 41
Space group: Pnma (62)

Record 3
The following is a PBE-GGA calculation of a relaxed Rb4Tc6S13 crystal, from OQMD via LeMat-Bulk.

a = 9.7326 Å, b = 9.7326 Å, c = 14.1263 Å
α = 94.72°, β = 94.72°, γ = 119.40°
With the nearest neighbours (Å) after each atom.
Fractional coordinates of all 46 atoms:
Rb1 0.9036 0.6243 0.1190  6 S 3.20-3.48
Rb2 0.2388 0.3002 0.1602  6 S 3.22-3.42
Rb3 0.6998 0.7612 0.3398  6 S 3.22-3.42
Rb4 0.3757 0.0964 0.3810  6 S 3.20-3.48
Rb5 0.6243 0.9036 0.6190  6 S 3.20-3.48
Rb6 0.3002 0.2388 0.6602  6 S 3.22-3.42
Rb7 0.7612 0.6998 0.8398  6 S 3.22-3.42
Rb8 0.0964 0.3757 0.8810  6 S 3.20-3.48
S1 0.4947 0.3013 0.0091  3 Tc 2.41-2.42
S2 0.8291 0.2705 0.0470  3 Tc 2.40-2.43
S3 0.9220 0.9534 0.0517  1 S 2.12
S4 0.3073 0.0067 0.1480  3 Tc 2.39-2.42
S5 0.2603 0.6419 0.1783  1 S 2.09
S6 0.6458 0.9835 0.1858  3 Tc 2.40
S7 0.6425 0.3575 0.2500  2 Tc 2.49
S8 0.0165 0.3542 0.3142  3 Tc 2.40
S9 0.3581 0.7397 0.3217  1 S 2.09
S10 0.9933 0.6927 0.3520  3 Tc 2.39-2.42
S11 0.0466 0.0780 0.4483  1 S 2.12
S12 0.7295 0.1709 0.4530  3 Tc 2.40-2.43
S13 0.6987 0.5053 0.4909  3 Tc 2.41-2.42
S14 0.3013 0.4947 0.5091  3 Tc 2.41-2.42
S15 0.2705 0.8291 0.5470  3 Tc 2.40-2.43
S16 0.9534 0.9220 0.5517  1 S 2.12
S17 0.0067 0.3073 0.6480  3 Tc 2.39-2.42
S18 0.6419 0.2603 0.6783  1 S 2.09
S19 0.9835 0.6458 0.6858  3 Tc 2.40
S20 0.3575 0.6425 0.7500  2 Tc 2.49
S21 0.3542 0.0165 0.8142  3 Tc 2.40
S22 0.7397 0.3581 0.8217  1 S 2.09
S23 0.6927 0.9933 0.8520  3 Tc 2.39-2.42
S24 0.0780 0.0466 0.9483  1 S 2.12
S25 0.1709 0.7295 0.9530  3 Tc 2.40-2.43
S26 0.5053 0.6987 0.9909  3 Tc 2.41-2.42
Tc1 0.6824 0.9844 0.0202  5 S 2.39-2.50, 4 Tc 2.61-2.64
Tc2 0.4013 0.8437 0.0761  5 S 2.39-2.44, 4 Tc 2.61-2.63
Tc3 0.5745 0.1545 0.1082  5 S 2.40-2.49, 4 Tc 2.62-2.64
Tc4 0.8455 0.4255 0.3918  5 S 2.40-2.49, 4 Tc 2.62-2.64
Tc5 0.1563 0.5987 0.4239  5 S 2.39-2.44, 4 Tc 2.61-2.63
Tc6 0.0156 0.3176 0.4798  5 S 2.39-2.50, 4 Tc 2.61-2.64
Tc7 0.9844 0.6824 0.5202  5 S 2.39-2.50, 4 Tc 2.61-2.64
Tc8 0.8437 0.4013 0.5761  5 S 2.39-2.44, 4 Tc 2.61-2.63
Tc9 0.1545 0.5745 0.6082  5 S 2.40-2.49, 4 Tc 2.62-2.64
Tc10 0.4255 0.8455 0.8918  5 S 2.40-2.49, 4 Tc 2.62-2.64
Tc11 0.5987 0.1563 0.9239  5 S 2.39-2.44, 4 Tc 2.61-2.63
Tc12 0.3176 0.0156 0.9798  5 S 2.39-2.50, 4 Tc 2.61-2.64

Properties
Space group: C2/c (15)

Record 4
The following is a PBE-GGA calculation of a relaxed BaHf15O31 crystal, from OQMD via LeMat-Bulk.

a = 6.8894 Å, b = 7.9006 Å, c = 10.3024 Å
α = 89.87°, β = 89.21°, γ = 87.42°
With the nearest neighbours (Å) after each atom.
Fractional coordinates of all 47 atoms:
Ba1 0.6464 0.0741 0.5920  4 O 2.39-2.54
Hf1 0.1402 0.6471 0.0985  5 O 1.96-2.16
Hf2 0.6271 0.1555 0.1080  6 O 2.02-2.23
Hf3 0.1078 0.1005 0.1426  5 O 1.99-2.20
Hf4 0.6141 0.5880 0.1460  7 O 2.06-2.30
Hf5 0.8786 0.8200 0.3420  6 O 1.99-2.16
Hf6 0.3691 0.3436 0.3610  7 O 2.06-2.30
Hf7 0.3452 0.9040 0.3830  6 O 2.01-2.23
Hf8 0.8815 0.4035 0.3992  2 O 1.95-2.09
Hf9 0.1338 0.6623 0.6094  6 O 2.04-2.26
Hf10 0.6160 0.5886 0.6427  7 O 2.08-2.32
Hf11 0.1245 0.1019 0.6540  6 O 2.01-2.21
Hf12 0.3733 0.3466 0.8520  6 O 2.05-2.18
Hf13 0.8698 0.8390 0.8627  5 O 1.96-2.16
Hf14 0.8813 0.4035 0.8904  5 O 2.03-2.20
Hf15 0.3838 0.9084 0.8954  7 O 2.06-2.29
O1 0.8370 0.6279 0.0025  4 Hf 2.13-2.34
O2 0.5815 0.3848 0.0050  3 Hf 2.11-2.19
O3 0.3355 0.1364 0.0080  4 Hf 2.11-2.33
O4 0.9087 0.2196 0.0296  3 Hf 2.01-2.17
O5 0.4162 0.7177 0.0307  3 Hf 2.06-2.11
O6 0.3389 0.5304 0.2215  3 Hf 2.06-2.11
O7 0.8311 0.0309 0.2320  3 Hf 2.03-2.20
O8 0.9128 0.6062 0.2403  2 Hf 1.99-2.16
O9 0.1503 0.8576 0.2455  3 Hf 2.01-2.20
O10 0.4130 0.1058 0.2503  3 Hf 2.11-2.21
O11 0.6623 0.3604 0.2533  4 Hf 2.12-2.30
O12 0.0881 0.2820 0.2766  3 Hf 1.99-2.21
O13 0.5905 0.7843 0.2936  3 Hf 2.09-2.17
O14 0.1644 0.4903 0.4627  3 Hf 2.04-2.20
O15 0.3174 0.1261 0.4875  3 Hf 2.06-2.19
O16 0.5846 0.4026 0.4916  3 Hf 2.09-2.25
O17 0.0658 0.8853 0.4933  3 Hf 2.12-2.23
O18 0.8312 0.6457 0.4993  4 Hf 2.14-2.40
O19 0.9396 0.2271 0.5271  2 Hf 1.95-2.06
O20 0.4203 0.7553 0.5347  2 Hf 2.01-2.16
O21 0.3415 0.5348 0.7151  3 Hf 2.04-2.09
O22 0.9104 0.6183 0.7442  4 Hf 2.10-2.32
O23 0.1765 0.8542 0.7505  3 Hf 2.13-2.21
O24 0.8822 0.0470 0.7602  2 Hf 1.96-2.05
O25 0.3886 0.1162 0.7603  3 Hf 2.05-2.15
O26 0.6562 0.3779 0.7626  3 Hf 2.06-2.17
O27 0.0936 0.3061 0.7697  3 Hf 2.01-2.15
O28 0.5958 0.7946 0.7732  3 Hf 2.09-2.16
O29 0.1648 0.4682 0.9676  2 Hf 1.96-2.06
O30 0.6602 0.9649 0.9785  3 Hf 2.02-2.16
O31 0.0910 0.8806 0.9989  4 Hf 2.12-2.29

Properties
E above lowest polymorph in meV/atom: 0
Space group: P1 (1)

Record 5
The following is a PBE-GGA calculation of a relaxed NaHfTe4Au3 crystal, from OQMD via LeMat-Bulk.

a = 6.5848 Å, b = 6.5848 Å, c = 6.5848 Å
α = 90.00°, β = 90.00°, γ = 90.00°
With the nearest neighbours (Å) after each atom.
Fractional coordinates of all 9 atoms:
Au1 0.5000 0.5000 0.0000  4 Te 2.82
Au2 0.5000 0.0000 0.5000  4 Te 2.82
Au3 0.0000 0.5000 0.5000  4 Te 2.82
Hf1 0.5000 0.5000 0.5000  4 Te 2.74
Na1 0.0000 0.0000 0.0000  4 Te 2.96
Te1 0.2594 0.2594 0.2594  1 Hf 2.74, 3 Au 2.82, 1 Na 2.96
Te2 0.7406 0.7406 0.2594  1 Hf 2.74, 3 Au 2.82, 1 Na 2.96
Te3 0.7406 0.2594 0.7406  1 Hf 2.74, 3 Au 2.82, 1 Na 2.96
Te4 0.2594 0.7406 0.7406  1 Hf 2.74, 3 Au 2.82, 1 Na 2.96

Properties
E above lowest polymorph in meV/atom: 0
Space group: P-43m (215)

Record 6
The following is a PBE-GGA calculation of a relaxed Hg2O crystal, from OQMD via LeMat-Bulk.

a = 7.4571 Å, b = 7.4571 Å, c = 7.4571 Å
α = 60.00°, β = 60.00°, γ = 60.00°
With the nearest neighbours (Å) after each atom.
Fractional coordinates of all 6 atoms:
Hg1 0.3750 0.3750 0.3750  2 O 2.28
Hg2 0.8750 0.3750 0.3750  2 O 2.28
Hg3 0.3750 0.8750 0.3750  2 O 2.28
Hg4 0.3750 0.3750 0.8750  2 O 2.28
O1 0.2500 0.2500 0.2500  4 Hg 2.28
O2 0.5000 0.5000 0.5000  4 Hg 2.28

Properties
E above lowest polymorph in meV/atom: 40
Space group: Fd-3m (227)

Record 7
The following is a PBE-GGA calculation of a relaxed NaErCo crystal, from OQMD via LeMat-Bulk.

a = 4.5837 Å, b = 4.5837 Å, c = 4.5837 Å
α = 60.00°, β = 60.00°, γ = 60.00°
With the nearest neighbours (Å) after each atom.
Fractional coordinates of all 3 atoms:
Co1 0.0000 0.0000 0.0000  4 Er 2.81, 4 Na 2.81
Er1 0.2500 0.2500 0.2500  4 Co 2.81
Na1 0.7500 0.7500 0.7500  4 Co 2.81

Properties
E above lowest polymorph in meV/atom: 0
Space group: F-43m (216)

Record 8
The following is a PBE-GGA calculation of a relaxed PrSmNi2Sn4 crystal, from OQMD via LeMat-Bulk.

a = 4.5424 Å, b = 9.3613 Å, c = 9.3613 Å
α = 27.48°, β = 90.00°, γ = 90.00°
With the nearest neighbours (Å) after each atom.
Fractional coordinates of all 8 atoms:
Ni1 0.0000 0.3181 0.3181  5 Sn 2.45-2.57
Ni2 0.5000 0.6821 0.6821  5 Sn 2.47-2.58
Pr1 0.0000 0.1086 0.1086  10 Sn 3.37-3.60, 4 Ni 3.45
Sm1 0.5000 0.8911 0.8911  10 Sn 3.37-3.60, 4 Ni 3.44
Sn1 0.5000 0.2516 0.2516  4 Ni 2.56-2.57
Sn2 0.0000 0.4529 0.4529  1 Ni 2.45
Sn3 0.5000 0.5465 0.5465  1 Ni 2.47
Sn4 0.0000 0.7490 0.7490  4 Ni 2.55-2.58

Properties
Space group: Amm2 (38)

Record 9
The following is a PBE-GGA calculation of a relaxed NaDyBeTe3 crystal, from OQMD via LeMat-Bulk.

a = 7.5613 Å, b = 7.5613 Å, c = 11.5698 Å
α = 90.00°, β = 90.00°, γ = 147.83°
With the nearest neighbours (Å) after each atom.
Fractional coordinates of all 12 atoms:
Be1 0.0341 0.9659 0.2500  4 Te 2.48-2.61
Be2 0.9659 0.0341 0.7500  4 Te 2.48-2.61
Dy1 0.5000 0.5000 0.0000  6 Te 3.04-3.08
Dy2 0.5000 0.5000 0.5000  6 Te 3.04-3.08
Na1 0.7451 0.2549 0.2500  6 Te 3.27-3.38
Na2 0.2549 0.7451 0.7500  6 Te 3.27-3.38
Te1 0.1378 0.8622 0.0801  1 Be 2.48
Te2 0.4273 0.5727 0.2500  2 Be 2.61
Te3 0.1378 0.8622 0.4199  1 Be 2.48
Te4 0.8622 0.1378 0.5801  1 Be 2.48
Te5 0.5727 0.4273 0.7500  2 Be 2.61
Te6 0.8622 0.1378 0.9199  1 Be 2.48

Properties
Space group: Cmcm (63)

Record 10
The following is a PBE-GGA calculation of a relaxed MgNiAsOs crystal, from OQMD via LeMat-Bulk.

a = 4.3788 Å, b = 4.3788 Å, c = 4.3788 Å
α = 60.00°, β = 60.00°, γ = 60.00°
With the nearest neighbours (Å) after each atom.
Fractional coordinates of all 4 atoms:
As1 0.0000 0.0000 0.0000  4 Mg 2.68, 4 Ni 2.68
Mg1 0.2500 0.2500 0.2500  4 Os 2.68, 4 As 2.68
Ni1 0.7500 0.7500 0.7500  4 Os 2.68, 4 As 2.68
Os1 0.5000 0.5000 0.5000  4 Mg 2.68, 4 Ni 2.68

Properties
Space group: F-43m (216)

Record 11
The following is a PBE-GGA calculation of a relaxed InReAuSe3 crystal, from OQMD via LeMat-Bulk.

a = 8.4454 Å, b = 8.4454 Å, c = 9.7848 Å
α = 90.00°, β = 90.00°, γ = 156.85°
With the nearest neighbours (Å) after each atom.
Fractional coordinates of all 12 atoms:
Au1 0.6925 0.3075 0.2500  2 Se 2.57, 2 In 2.76
Au2 0.3075 0.6925 0.7500  2 Se 2.57, 2 In 2.76
In1 0.3245 0.6755 0.2500  2 Au 2.76, 4 Se 2.88
In2 0.6755 0.3245 0.7500  2 Au 2.76, 4 Se 2.88
Re1 0.0000 0.0000 0.0000  6 Se 2.51-2.53
Re2 0.0000 0.0000 0.5000  6 Se 2.51-2.53
Se1 0.6124 0.3876 0.0247  2 Re 2.53, 1 Au 2.57
Se2 0.9655 0.0345 0.2500  2 Re 2.51
Se3 0.6124 0.3876 0.4753  2 Re 2.53, 1 Au 2.57
Se4 0.3876 0.6124 0.5247  2 Re 2.53, 1 Au 2.57
Se5 0.0345 0.9655 0.7500  2 Re 2.51
Se6 0.3876 0.6124 0.9753  2 Re 2.53, 1 Au 2.57

Properties
Space group: Cmcm (63)

Record 12
The following is a PBE-GGA calculation of a relaxed SrSmTl crystal, from OQMD via LeMat-Bulk.

a = 5.4694 Å, b = 5.4694 Å, c = 5.4694 Å
α = 60.00°, β = 60.00°, γ = 60.00°
With the nearest neighbours (Å) after each atom.
Fractional coordinates of all 3 atoms:
Sm1 0.2500 0.2500 0.2500  4 Tl 3.35
Sr1 0.7500 0.7500 0.7500  4 Tl 3.35
Tl1 0.0000 0.0000 0.0000  4 Sm 3.35, 4 Sr 3.35

Properties
Space group: F-43m (216)

no.,E_tot (eV/cell)
1,-20.92
2,-125.45
3,-277.18
4,-466.80
5,-37.85
6,-10.18
7,-11.29
8,-41.34
9,-49.33
10,-21.00
11,-58.75
12,-9.00